## Mg3Si4 (GGA-PBE)

Data for a relaxed Mg3Si4 crystal.

The structure in POSCAR format:
```
Mg3Si4
1.0
-2.231 -1.824 -3.236
7.443 -2.051 -1.447
-0.744 -5.340 5.812
Mg Si
6 8
direct
0.748 0.990 0.447
0.127 0.680 0.488
0.214 0.620 0.908
0.061 0.217 0.909
0.302 0.330 0.327
0.054 0.886 0.143
0.565 0.467 0.739
0.424 0.972 0.860
0.538 0.665 0.247
0.709 0.458 0.064
0.780 0.809 0.753
0.945 0.349 0.599
0.385 0.151 0.623
0.647 0.153 0.139
```

Properties
energy above the most stable polymorph in this dataset: 47 meV/atom
formation energy without anion corrections: 0.099 eV/atom

=====

## CsSrSb (GGA-PBE)

Data for a relaxed CsSrSb crystal.

The structure in POSCAR format:
```
CsSrSb
1.0
-1.272 5.306 1.137
-0.044 -1.808 -5.272
-11.486 -2.995 1.124
Cs Sb Sr
2 2 2
direct
0.667 0.333 0.000
0.667 0.333 0.500
0.000 0.000 0.250
0.000 0.000 0.750
0.333 0.667 0.250
0.333 0.667 0.750
```

Properties
formation energy without anion corrections: -0.563 eV/atom

=====

## Zr2CoPt (GGA-PBE)

Data for a relaxed Zr2CoPt crystal.

The structure in POSCAR format:
```
Zr2CoPt
1.0
-4.496 0.499 -0.595
-1.965 -1.446 -3.855
-2.729 -3.656 0.063
Co Pt Zr
1 1 2
direct
0.500 0.500 0.500
0.250 0.250 0.250
0.000 0.000 0.000
0.750 0.750 0.750
```

Properties
E_tot: -7.936 eV/atom

=====

## Al3CuS (GGA-PBE)

Data for a relaxed Al3CuS crystal.

The structure in POSCAR format:
```
Al3CuS
1.0
4.562 0.000 0.000
0.000 4.562 0.000
0.000 0.000 4.562
S Al Cu
1 3 1
direct
0.500 0.500 0.500
0.000 0.500 0.000
0.000 0.000 0.500
0.500 0.000 0.000
0.000 0.000 0.000
```

Properties
energy above the most stable polymorph in this dataset: 0 meV/atom
formation energy without anion corrections: 0.103 eV/atom

=====

## Sr2TlSb (GGA-PBE)

Data for a relaxed Sr2TlSb crystal.

The structure in POSCAR format:
```
Sr2TlSb
1.0
3.377 4.043 2.354
-1.685 2.733 4.793
2.679 -1.034 5.004
Sb Tl Sr
1 1 2
direct
0.000 0.000 0.000
0.500 0.500 0.500
0.250 0.250 0.250
0.750 0.750 0.750
```

Properties
energy above the most stable polymorph in this dataset: 67 meV/atom
formation energy without anion corrections: -0.614 eV/atom

=====

## Ac2Th3Ga4 (GGA-PBE)

Data for a relaxed Ac2Th3Ga4 crystal.

The structure in POSCAR format:
```
Ac2Th3Ga4
1.0
-0.709 -7.622 2.153
-1.106 0.319 -8.212
8.148 -1.080 -1.139
Ac Th Ga
4 6 8
direct
0.572 0.191 0.328
0.928 0.809 0.828
0.428 0.809 0.672
0.072 0.191 0.172
0.000 0.500 0.500
0.500 0.500 0.000
0.752 0.246 0.821
0.748 0.754 0.321
0.248 0.754 0.179
0.252 0.246 0.679
0.875 0.078 0.536
0.625 0.922 0.036
0.125 0.922 0.464
0.375 0.078 0.964
0.876 0.496 0.119
0.624 0.504 0.619
0.124 0.504 0.881
0.376 0.496 0.381
```

Properties
E_tot: -5.164 eV/atom

=====

## Ce2NdSmSb4 (GGA-PBE)

Data for a relaxed Ce2NdSmSb4 crystal.

The structure in POSCAR format:
```
Ce2NdSmSb4
1.0
4.496 0.000 0.000
0.000 7.793 -0.157
0.000 2.742 7.294
Ce Nd Sm Sb
2 1 1 4
direct
0.000 0.000 0.000
0.500 0.000 0.500
0.500 0.500 0.000
0.000 0.500 0.500
0.000 0.752 0.748
0.000 0.248 0.252
0.500 0.751 0.251
0.500 0.249 0.749
```

Properties
formation energy without anion corrections: -1.117 eV/atom

=====

## KCd3In3 (GGA-PBE)

Data for a relaxed KCd3In3 crystal.

The structure in POSCAR format:
```
KCd3In3
1.0
-0.781 -1.001 4.996
-7.276 -0.618 -1.261
5.725 -9.524 -1.015
K Cd In
2 6 6
direct
0.750 0.365 0.727
0.250 0.635 0.273
0.750 0.992 0.410
0.750 0.348 0.057
0.750 0.734 0.549
0.250 0.008 0.590
0.250 0.652 0.943
0.250 0.266 0.451
0.750 0.798 0.108
0.750 0.322 0.320
0.750 0.905 0.859
0.250 0.202 0.892
0.250 0.678 0.680
0.250 0.095 0.141
```

Properties
energy above the most stable polymorph in this dataset: 0 meV/atom

=====

## Pa6SeS5 (GGA-PBE)

Data for a relaxed Pa6SeS5 crystal.

The structure in POSCAR format:
```
Pa6SeS5
1.0
-6.664 0.134 1.589
3.995 -5.488 0.933
2.500 4.152 5.035
S Pa Se
5 6 1
direct
0.839 0.161 0.500
0.667 0.333 0.000
0.500 0.500 0.500
0.333 0.667 0.000
0.161 0.839 0.500
0.431 0.087 0.258
0.913 0.569 0.742
0.261 0.261 0.746
0.739 0.739 0.254
0.087 0.431 0.258
0.569 0.913 0.742
0.000 0.000 0.000
```

Properties
formation energy without anion corrections: -1.531 eV/atom

=====

## Mn3Al9Si (GGA-PBE)

Data for a relaxed Mn3Al9Si crystal.

The structure in POSCAR format:
```
Mn3Al9Si
1.0
7.497 0.000 0.000
-3.748 6.492 0.000
0.000 0.000 7.639
Mn Al Si
6 18 2
direct
0.761 0.881 0.250
0.119 0.881 0.250
0.881 0.761 0.750
0.239 0.119 0.750
0.881 0.119 0.750
0.119 0.239 0.250
0.800 0.200 0.436
0.800 0.200 0.064
0.200 0.800 0.564
0.200 0.401 0.564
0.599 0.800 0.564
0.401 0.200 0.064
0.457 0.915 0.250
0.543 0.457 0.750
0.915 0.457 0.750
0.800 0.599 0.064
0.457 0.543 0.250
0.543 0.085 0.750
0.200 0.401 0.936
0.085 0.543 0.250
0.401 0.200 0.436
0.599 0.800 0.936
0.200 0.800 0.936
0.800 0.599 0.436
0.000 0.000 0.000
0.000 0.000 0.500
```

Properties
formation energy without anion corrections: -0.274 eV/atom

=====

## CoHg7 (GGA-PBE)

Data for a relaxed CoHg7 crystal.

The structure in POSCAR format:
```
CoHg7
1.0
0.000 4.471 4.471
4.471 0.000 4.471
4.471 4.471 0.000
Co Hg
1 7
direct
0.000 0.000 0.000
0.500 0.000 0.000
0.000 0.000 0.500
0.500 0.000 0.500
0.000 0.500 0.000
0.500 0.500 0.000
0.000 0.500 0.500
0.500 0.500 0.500
```

Properties
E_tot: -0.835 eV/atom

=====

## KCrTe2 (GGA-PBE)

Data for a relaxed KCrTe2 crystal.

The structure in POSCAR format:
```
KCrTe2
1.0
6.433 -0.009 0.000
3.291 5.527 0.000
-4.862 -2.759 3.183
Cr K Te
1 1 2
direct
0.500 0.500 0.000
0.750 0.250 0.500
0.000 0.000 0.000
0.250 0.750 0.500
```

Properties
formation energy without anion corrections: 0.083 eV/atom